1.
Here is NaSm2PaS6 after structural relaxation from the Alexandria database. Energies are from PBE-GGA.

Results
- V: 26.95 Å³/atom
- Uncorrected formation energy: -17.60 eV/f.u.
- Symmetry: R3 (146)

a b c (Å): 7.4687 7.4687 7.4687
angles (deg): 56.32 56.32 56.32
Positions (direct):
Na1 0.0000 0.0000 0.0000
Sm1 0.2061 0.2061 0.2061
Sm2 0.7173 0.7173 0.7173
Pa1 0.5174 0.5174 0.5174
S1 0.1364 0.4150 0.7846
S2 0.3327 0.9044 0.5893
S3 0.4150 0.7846 0.1364
S4 0.5893 0.3327 0.9044
S5 0.7846 0.1364 0.4150
S6 0.9044 0.5893 0.3327

---

2.
Here is Na3Sm3PaS8 after structural relaxation from the Alexandria database. Energies are from PBE-GGA.

Results
- V: 25.80 Å³/atom
- Uncorrected formation energy: -26.42 eV/f.u.
- Symmetry: R-3m (166)

a b c (Å): 8.2027 8.2027 8.2027
angles (deg): 59.63 59.63 59.63
Positions (direct):
Na1 0.0000 0.5000 0.5000
Na2 0.5000 0.0000 0.5000
Na3 0.5000 0.5000 0.0000
Sm1 0.0000 0.0000 0.5000
Sm2 0.0000 0.5000 0.0000
Sm3 0.5000 0.0000 0.0000
Pa1 0.5000 0.5000 0.5000
S1 0.2437 0.2437 0.2437
S2 0.2512 0.7355 0.7355
S3 0.2645 0.2645 0.7488
S4 0.2645 0.7488 0.2645
S5 0.7355 0.2512 0.7355
S6 0.7355 0.7355 0.2512
S7 0.7488 0.2645 0.2645
S8 0.7563 0.7563 0.7563

---

3.
Here is Na3Sm2PaS6 after structural relaxation from the Alexandria database. Energies are from PBE-GGA.

Results
- V: 23.62 Å³/atom
- Uncorrected formation energy: -20.09 eV/f.u.
- Symmetry: C2/m (12)

a b c (Å): 6.9707 6.9707 7.1261
angles (deg): 99.40 99.40 120.00
Positions (direct):
Na1 0.0000 0.0000 0.0000
Na2 0.3314 0.6686 0.0000
Na3 0.6686 0.3314 0.0000
Sm1 0.1666 0.8334 0.5000
Sm2 0.8334 0.1666 0.5000
Pa1 0.5000 0.5000 0.5000
S1 0.0977 0.4221 0.2664
S2 0.2536 0.2536 0.7324
S3 0.4221 0.0977 0.2664
S4 0.5779 0.9023 0.7336
S5 0.7464 0.7464 0.2676
S6 0.9023 0.5779 0.7336

---

4.
Here is Na2PaSnS5 after structural relaxation from the Alexandria database. Energies are from PBE-GGA.

Results
- V: 26.04 Å³/atom
- Uncorrected formation energy: -9.63 eV/f.u.
- Symmetry: P2_1 (4)

a b c (Å): 4.1293 13.5730 8.6137
angles (deg): 90.00 103.87 90.00
Positions (direct):
Na1 0.0796 0.0000 0.1592
Na2 0.1223 0.6453 0.2458
Na3 0.8777 0.1453 0.7542
Na4 0.9204 0.5000 0.8408
Pa1 0.2382 0.3728 0.4772
Pa2 0.7618 0.8728 0.5228
Sn1 0.4562 0.7757 0.9114
Sn2 0.5438 0.2757 0.0886
S1 0.0752 0.3889 0.1515
S2 0.2590 0.9975 0.5172
S3 0.2881 0.7469 0.5754
S4 0.3870 0.3397 0.7749
S5 0.4971 0.1055 0.9939
S6 0.5029 0.6055 0.0061
S7 0.6130 0.8397 0.2251
S8 0.7119 0.2469 0.4246
S9 0.7410 0.4975 0.4828
S10 0.9248 0.8889 0.8485

---

5.
Here is NaSr2PaS4 after structural relaxation from the Alexandria database. Energies are from PBE-GGA.

Results
- V: 25.04 Å³/atom
- Uncorrected formation energy: -13.87 eV/f.u.
- Symmetry: P2/m (10)

a b c (Å): 7.1759 4.0983 7.1972
angles (deg): 90.00 108.81 90.00
Positions (direct):
Na1 0.0000 0.0000 0.0000
Sr1 0.5000 0.0000 0.5000
Sr2 0.5000 0.5000 0.0000
Pa1 0.0000 0.5000 0.5000
S1 0.2326 0.0000 0.7372
S2 0.2335 0.5000 0.2609
S3 0.7665 0.5000 0.7391
S4 0.7674 0.0000 0.2628

---

6.
Here is Na3Sr2PaS6 after structural relaxation from the Alexandria database. Energies are from PBE-GGA.

Results
- V: 25.33 Å³/atom
- Uncorrected formation energy: -20.33 eV/f.u.
- Symmetry: C2/m (12)

a b c (Å): 7.2699 7.2699 7.0808
angles (deg): 99.98 99.98 120.03
Positions (direct):
Na1 0.0000 0.0000 0.0000
Na2 0.3356 0.6644 0.0000
Na3 0.6644 0.3356 0.0000
Sr1 0.1672 0.8328 0.5000
Sr2 0.8328 0.1672 0.5000
Pa1 0.5000 0.5000 0.5000
S1 0.1198 0.4220 0.2659
S2 0.2745 0.2745 0.7269
S3 0.4220 0.1198 0.2659
S4 0.5780 0.8802 0.7341
S5 0.7255 0.7255 0.2731
S6 0.8802 0.5780 0.7341

---

7.
Here is NaSrPaS4 after structural relaxation from the Alexandria database. Energies are from PBE-GGA.

Results
- V: 29.39 Å³/atom
- Uncorrected formation energy: -10.99 eV/f.u.
- Symmetry: I4mm (107)

a b c (Å): 8.3093 8.3093 8.3093
angles (deg): 143.08 143.08 53.20
Positions (direct):
Na1 0.0000 0.0000 0.0000
Sr1 0.7192 0.7192 0.0000
Pa1 0.3562 0.3562 0.0000
S1 0.1836 0.1836 0.0000
S2 0.3488 0.8488 0.5000
S3 0.5265 0.5265 0.0000
S4 0.8488 0.3488 0.5000

---

8.
Here is Na2PaTaS6 after structural relaxation from the Alexandria database. Energies are from PBE-GGA.

Results
- V: 26.39 Å³/atom
- Uncorrected formation energy: -11.45 eV/f.u.
- Symmetry: P4mm (99)

a b c (Å): 7.0697 7.0697 5.2799
angles (deg): 90.00 90.00 90.00
Positions (direct):
Na1 0.0000 0.5000 0.0000
Na2 0.5000 0.0000 0.0000
Pa1 0.0000 0.0000 0.6618
Ta1 0.5000 0.5000 0.5921
S1 0.0000 0.0000 0.1705
S2 0.2615 0.2615 0.6894
S3 0.2615 0.7385 0.6894
S4 0.5000 0.5000 0.1753
S5 0.7385 0.2615 0.6894
S6 0.7385 0.7385 0.6894

---

9.
Here is Na2PaTa2S6 after structural relaxation from the Alexandria database. Energies are from PBE-GGA.

Results
- V: 21.64 Å³/atom
- Uncorrected formation energy: -13.61 eV/f.u.
- Symmetry: C2/m (12)

a b c (Å): 6.1861 6.1861 7.2281
angles (deg): 96.79 96.79 117.85
Positions (direct):
Na1 0.1730 0.8270 0.0000
Na2 0.8270 0.1730 0.0000
Pa1 0.0000 0.0000 0.5000
Ta1 0.3624 0.6376 0.5000
Ta2 0.6376 0.3624 0.5000
S1 0.0561 0.4168 0.7066
S2 0.2767 0.2767 0.2624
S3 0.4168 0.0561 0.7066
S4 0.5832 0.9439 0.2934
S5 0.7233 0.7233 0.7376
S6 0.9439 0.5832 0.2934

---

10.
Here is Na3Tb3PaS8 after structural relaxation from the Alexandria database. Energies are from PBE-GGA.

Results
- V: 25.03 Å³/atom
- Uncorrected formation energy: -26.71 eV/f.u.
- Symmetry: R-3m (166)

a b c (Å): 8.1632 8.1632 8.1632
angles (deg): 58.95 58.95 58.95
Positions (direct):
Na1 0.0000 0.5000 0.5000
Na2 0.5000 0.0000 0.5000
Na3 0.5000 0.5000 0.0000
Tb1 0.0000 0.0000 0.5000
Tb2 0.0000 0.5000 0.0000
Tb3 0.5000 0.0000 0.0000
Pa1 0.5000 0.5000 0.5000
S1 0.2423 0.2423 0.2423
S2 0.2454 0.7380 0.7380
S3 0.2620 0.2620 0.7546
S4 0.2620 0.7546 0.2620
S5 0.7380 0.2454 0.7380
S6 0.7380 0.7380 0.2454
S7 0.7546 0.2620 0.2620
S8 0.7577 0.7577 0.7577

---

11.
Here is Na4Tb3PaS8 after structural relaxation from the Alexandria database. Energies are from PBE-GGA.

Results
- V: 23.18 Å³/atom
- Uncorrected formation energy: -27.56 eV/f.u.
- Symmetry: R-3m (166)

a b c (Å): 8.1424 8.1424 8.1424
angles (deg): 58.75 58.75 58.75
Positions (direct):
Na1 0.0000 0.0000 0.0000
Na2 0.0000 0.5000 0.5000
Na3 0.5000 0.0000 0.5000
Na4 0.5000 0.5000 0.0000
Tb1 0.0000 0.0000 0.5000
Tb2 0.0000 0.5000 0.0000
Tb3 0.5000 0.0000 0.0000
Pa1 0.5000 0.5000 0.5000
S1 0.2431 0.2431 0.2431
S2 0.2453 0.7424 0.7424
S3 0.2576 0.2576 0.7547
S4 0.2576 0.7547 0.2576
S5 0.7424 0.2453 0.7424
S6 0.7424 0.7424 0.2453
S7 0.7547 0.2576 0.2576
S8 0.7569 0.7569 0.7569

---

12.
Here is Na2Tb2PaS6 after structural relaxation from the Alexandria database. Energies are from PBE-GGA.

Results
- V: 25.62 Å³/atom
- Uncorrected formation energy: -19.37 eV/f.u.
- Symmetry: C2/m (12)

a b c (Å): 6.9425 6.9425 7.1254
angles (deg): 99.41 99.41 119.79
Positions (direct):
Na1 0.1687 0.8313 0.0000
Na2 0.8313 0.1687 0.0000
Tb1 0.3345 0.6655 0.5000
Tb2 0.6655 0.3345 0.5000
Pa1 0.0000 0.0000 0.5000
S1 0.0698 0.4021 0.7215
S2 0.2505 0.2505 0.2785
S3 0.4021 0.0698 0.7215
S4 0.5979 0.9302 0.2785
S5 0.7495 0.7495 0.7215
S6 0.9302 0.5979 0.2785

---

13.
Here is NaTb2PaS5 after structural relaxation from the Alexandria database. Energies are from PBE-GGA.

Results
- V: 26.66 Å³/atom
- Uncorrected formation energy: -14.18 eV/f.u.
- Symmetry: Immm (71)

a b c (Å): 8.0475 8.0475 8.0475
angles (deg): 143.54 128.30 64.92
Positions (direct):
Na1 0.0000 0.0000 0.0000
Tb1 0.2983 0.7983 0.5000
Tb2 0.7017 0.2017 0.5000
Pa1 0.5000 0.5000 0.0000
S1 0.1062 0.3476 0.7586
S2 0.4109 0.6524 0.7586
S3 0.5000 0.0000 0.5000
S4 0.5891 0.3476 0.2414
S5 0.8938 0.6524 0.2414

---

14.
Here is NaPaTe2S6 after structural relaxation from the Alexandria database. Energies are from PBE-GGA.

Results
- V: 28.67 Å³/atom
- Uncorrected formation energy: -6.39 eV/f.u.
- Symmetry: P1 (1)

a b c (Å): 7.0124 7.0884 7.6147
angles (deg): 63.71 64.70 61.43
Positions (direct):
Na1 0.0000 0.0000 0.0000
Pa1 0.5547 0.4738 0.5263
Te1 0.2808 0.3555 0.3149
Te2 0.6424 0.7767 0.6702
S1 0.1701 0.3848 0.6600
S2 0.2832 0.8617 0.6276
S3 0.4018 0.6725 0.1850
S4 0.5917 0.2837 0.8819
S5 0.7470 0.0961 0.3946
S6 0.9269 0.5549 0.2190

---

15.
Here is Na2PaTiS4 after structural relaxation from the Alexandria database. Energies are from PBE-GGA.

Results
- V: 21.01 Å³/atom
- Uncorrected formation energy: -11.31 eV/f.u.
- Symmetry: P2/m (10)

a b c (Å): 6.4383 3.8329 7.1560
angles (deg): 90.00 107.86 90.00
Positions (direct):
Na1 0.0000 0.0000 0.0000
Na2 0.5000 0.5000 0.0000
Pa1 0.0000 0.5000 0.5000
Ti1 0.5000 0.0000 0.5000
S1 0.2585 0.0000 0.7294
S2 0.2750 0.5000 0.2827
S3 0.7250 0.5000 0.7173
S4 0.7415 0.0000 0.2706

---

16.
Here is NaPaTiS4 after structural relaxation from the Alexandria database. Energies are from PBE-GGA.

Results
- V: 23.55 Å³/atom
- Uncorrected formation energy: -10.04 eV/f.u.
- Symmetry: Imma (74)

a b c (Å): 7.6989 7.6989 7.6989
angles (deg): 122.12 113.93 93.60
Positions (direct):
Na1 0.4081 0.1581 0.2500
Na2 0.5919 0.8419 0.7500
Pa1 0.0000 0.5000 0.5000
Pa2 0.5000 0.5000 0.0000
Ti1 0.0000 0.0000 0.5000
Ti2 0.0000 0.5000 0.0000
S1 0.2024 0.2488 0.9535
S2 0.2047 0.7512 0.4535
S3 0.2404 0.2601 0.5196
S4 0.2404 0.7208 0.9804
S5 0.7596 0.2792 0.0196
S6 0.7596 0.7399 0.4804
S7 0.7953 0.2488 0.5465
S8 0.7976 0.7512 0.0465

---

17.
Here is Na2PaTlS4 after structural relaxation from the Alexandria database. Energies are from PBE-GGA.

Results
- V: 25.69 Å³/atom
- Uncorrected formation energy: -9.84 eV/f.u.
- Symmetry: P2/m (10)

a b c (Å): 6.9654 4.1264 7.6912
angles (deg): 90.00 111.63 90.00
Positions (direct):
Na1 0.0000 0.0000 0.0000
Na2 0.0000 0.5000 0.5000
Pa1 0.5000 0.0000 0.5000
Tl1 0.5000 0.5000 0.0000
S1 0.2705 0.5000 0.2843
S2 0.2743 0.0000 0.6957
S3 0.7257 0.0000 0.3043
S4 0.7295 0.5000 0.7157

---

18.
Here is Na3Pa2TlS6 after structural relaxation from the Alexandria database. Energies are from PBE-GGA.

Results
- V: 24.93 Å³/atom
- Uncorrected formation energy: -15.77 eV/f.u.
- Symmetry: C2/m (12)

a b c (Å): 9.0555 9.0555 8.4994
angles (deg): 100.08 100.08 25.87
Positions (direct):
Na1 0.0000 0.0000 0.0000
Na2 0.3452 0.3452 0.6634
Na3 0.6548 0.6548 0.3366
Pa1 0.3327 0.3327 0.1613
Pa2 0.6673 0.6673 0.8387
Tl1 0.0000 0.0000 0.5000
S1 0.1728 0.1728 0.0676
S2 0.1789 0.1789 0.6265
S3 0.4815 0.4815 0.2199
S4 0.5185 0.5185 0.7801
S5 0.8211 0.8211 0.3735
S6 0.8272 0.8272 0.9324

---

19.
Here is NaPa2Tl3S6 after structural relaxation from the Alexandria database. Energies are from PBE-GGA.

Results
- V: 27.22 Å³/atom
- Uncorrected formation energy: -13.40 eV/f.u.
- Symmetry: C2/m (12)

a b c (Å): 9.7765 9.7765 8.9228
angles (deg): 109.15 109.15 23.99
Positions (direct):
Na1 0.0000 0.0000 0.0000
Pa1 0.3344 0.3344 0.6744
Pa2 0.6656 0.6656 0.3256
Tl1 0.0000 0.0000 0.5000
Tl2 0.3455 0.3455 0.1678
Tl3 0.6545 0.6545 0.8322
S1 0.1690 0.1690 0.1230
S2 0.1796 0.1796 0.5452
S3 0.4769 0.4769 0.7556
S4 0.5231 0.5231 0.2444
S5 0.8204 0.8204 0.4548
S6 0.8310 0.8310 0.8770

---

20.
Here is NaTmPaS4 after structural relaxation from the Alexandria database. Energies are from PBE-GGA.

Results
- V: 27.05 Å³/atom
- Uncorrected formation energy: -11.96 eV/f.u.
- Symmetry: Imma (74)

a b c (Å): 8.1195 8.1195 8.1195
angles (deg): 120.90 119.00 90.09
Positions (direct):
Na1 0.3828 0.1328 0.2500
Na2 0.6172 0.8672 0.7500
Tm1 0.0000 0.0000 0.5000
Tm2 0.0000 0.5000 0.0000
Pa1 0.0000 0.5000 0.5000
Pa2 0.5000 0.5000 0.0000
S1 0.2084 0.7362 0.4722
S2 0.2361 0.2638 0.9722
S3 0.2370 0.2610 0.5240
S4 0.2370 0.7130 0.9760
S5 0.7630 0.2870 0.0240
S6 0.7630 0.7390 0.4760
S7 0.7639 0.7362 0.0278
S8 0.7916 0.2638 0.5278

---

21.
Here is Na2Tm2PaS6 after structural relaxation from the Alexandria database. Energies are from PBE-GGA.

Results
- V: 24.98 Å³/atom
- Uncorrected formation energy: -19.41 eV/f.u.
- Symmetry: C2/m (12)

a b c (Å): 6.8552 6.8552 7.1281
angles (deg): 99.27 99.27 119.97
Positions (direct):
Na1 0.1681 0.8319 0.0000
Na2 0.8319 0.1681 0.0000
Tm1 0.3342 0.6658 0.5000
Tm2 0.6658 0.3342 0.5000
Pa1 0.0000 0.0000 0.5000
S1 0.0695 0.4067 0.7194
S2 0.2576 0.2576 0.2805
S3 0.4067 0.0695 0.7194
S4 0.5933 0.9305 0.2806
S5 0.7424 0.7424 0.7195
S6 0.9305 0.5933 0.2806